A relaxed CsNbCrO4 crystal. Source: Alexandria via LeMat-Bulk, functional GGA+U.

Unit cell a=5.7539 b=5.9436 c=8.0985 alpha=90.00 beta=91.36 gamma=90.00
Last column: nearest neighbours and their distance in Å.
Fractional coordinates of all 14 atoms:
Cs 0.2392 0.2500 0.3758  3 O 2.88-3.04
Cs 0.7608 0.7500 0.6242  3 O 2.88-3.04
Nb 0.3161 0.2500 0.8619  4 O 1.88-1.90
Nb 0.6839 0.7500 0.1381  4 O 1.88-1.90
Cr 0.1975 0.7500 0.0387  4 O 2.08-2.27
Cr 0.8025 0.2500 0.9613  4 O 2.08-2.27
O 0.1026 0.0101 0.8433  1 Nb 1.89
O 0.1026 0.4899 0.8433  1 Nb 1.89
O 0.4142 0.7500 0.2685  1 Nb 1.90
O 0.4765 0.2500 0.0667  1 Nb 1.88, 1 Cr 2.08
O 0.5235 0.7500 0.9333  1 Nb 1.88, 1 Cr 2.08
O 0.5858 0.2500 0.7315  1 Nb 1.90
O 0.8974 0.5101 0.1567  1 Nb 1.89
O 0.8974 0.9899 0.1567  1 Nb 1.89

Output
**DFT total energy**: -7.474 eV per atom
**Calculated volume**: 19.78 Å³/atom